1.
Computed, not measured: a crystal of CaAlPt4 relaxed with PBEsol at the meta-GGA SCAN level of DFT.

DFT formation energy: -0.73 eV per atom
Fermi-level density of states: 0.408 states/eV per atom
Space group: F-43m, No. 216
Magnetic moment: 0.0 Bohr magnetons per cell

Cell: 5.2779 5.2779 5.2779 Å, 60.00 60.00 60.00°
With the nearest neighbours (Å) after each atom.
Fractional positions:
Pt 0.3755 0.3755 0.3755  6 Pt 2.63-2.65
Pt 0.3755 0.8734 0.3755  6 Pt 2.63-2.65
Pt 0.3755 0.3755 0.8734  6 Pt 2.63-2.65
Pt 0.8734 0.3755 0.3755  6 Pt 2.63-2.65
Al 0.7500 0.7500 0.7500  12 Pt 3.09, 4 Ca 3.23
Ca 0.0000 0.0000 0.0000  12 Pt 3.10, 4 Al 3.23

***

2.
Computed, not measured: a crystal of Ca2AlPt relaxed with PBEsol at the meta-GGA SCAN level of DFT.

DFT formation energy: -0.60 eV per atom
Fermi-level density of states: 0.486 states/eV per atom
Space group: I-42d, No. 122
Magnetic moment: 0.0 Bohr magnetons per cell

Cell: 4.7691 7.6842 7.6842 Å, 84.47 71.92 71.92°
With the nearest neighbours (Å) after each atom.
Fractional positions:
Al 0.2500 0.5000 0.5000  2 Pt 2.38
Al 0.5000 0.0000 0.0000  2 Pt 2.38
Pt 0.7500 0.5000 0.5000  2 Al 2.38
Pt 0.0000 0.0000 0.0000  2 Al 2.38
Ca 0.9631 0.1619 0.6619  2 Pt 2.80
Ca 0.3750 0.6619 0.8381  2 Pt 2.80
Ca 0.8750 0.3381 0.1619  2 Pt 2.80
Ca 0.7869 0.8381 0.3381  2 Pt 2.80